Entry 1:
Computed, not measured: a geometry-optimized YSi2NiIr structure at the PBE level of DFT.

Values from the calculation:
SG: I-4m2 (119)
E_form (uncorrected): -0.934 eV per atom
D(E_F): 3.664 states/eV per cell

a b c (Å): 3.988 3.988 5.740
angles (deg): 110.33 110.33 90.00
Sites, in units of the cell vectors:
Ni (0.250, 0.750, 0.500)
Ir (0.750, 0.250, 0.500)
Si (0.620, 0.620, 0.241)
Si (0.380, 0.380, 0.759)
Y (0.000, 0.000, 0.000)


Entry 2:
Computed, not measured: a geometry-optimized K2BeSi structure at the PBE level of DFT.

Values from the calculation:
SG: P2/m (10)
E_form (uncorrected): 0.306 eV per atom
D(E_F): 1.758 states/eV per cell

a b c (Å): 5.129 8.121 8.710
angles (deg): 28.20 90.00 90.00
Sites, in units of the cell vectors:
Be (0.500, 0.750, 0.750)
K (0.000, 0.784, 0.943)
K (0.000, 0.716, 0.557)
Si (0.500, 0.250, 0.250)


Entry 3:
Computed, not measured: a geometry-optimized Sr2CoHg structure at the PBE level of DFT.

Values from the calculation:
DFT formation energy: 348 meV per atom
SG: I-42d (122)
D(E_F): 6.187 states/eV per cell

a b c (Å): 8.452 8.452 6.774
angles (deg): 51.40 51.40 90.00
Sites, in units of the cell vectors:
Sr (0.875, 0.818, 0.750)
Sr (0.182, 0.625, 0.250)
Sr (0.375, 0.432, 0.750)
Sr (0.568, 0.125, 0.250)
Hg (0.750, 0.250, 0.500)
Hg (0.000, 0.000, 0.000)
Co (0.250, 0.750, 0.500)
Co (0.500, 0.500, 0.000)


Entry 4:
Computed, not measured: a geometry-optimized GaHg6Pb12 structure at the PBE level of DFT.

Values from the calculation:
DFT formation energy: 135 meV per atom
SG: R-3 (148)
D(E_F): 11.441 states/eV per cell

a b c (Å): 8.775 8.775 8.775
angles (deg): 99.15 99.15 99.15
Sites, in units of the cell vectors:
Hg (0.141, 0.603, 0.291)
Hg (0.859, 0.397, 0.709)
Hg (0.397, 0.709, 0.859)
Hg (0.603, 0.291, 0.141)
Hg (0.709, 0.859, 0.397)
Hg (0.291, 0.141, 0.603)
Pb (0.068, 0.678, 0.945)
Pb (0.590, 0.178, 0.452)
Pb (0.678, 0.945, 0.068)
Pb (0.452, 0.590, 0.178)
Pb (0.055, 0.932, 0.322)
Pb (0.822, 0.548, 0.410)
Pb (0.945, 0.068, 0.678)
Pb (0.178, 0.452, 0.590)
Pb (0.322, 0.055, 0.932)
Pb (0.932, 0.322, 0.055)
Pb (0.548, 0.410, 0.822)
Pb (0.410, 0.822, 0.548)
Ga (0.000, 0.000, 0.000)


Entry 5:
Computed, not measured: a geometry-optimized AcHg2IrO6 structure at the PBE level of DFT.

Values from the calculation:
SG: R-3 (148)
E_form (uncorrected): -1.178 eV per atom
D(E_F): 4.623 states/eV per cell

a b c (Å): 5.828 5.828 6.286
angles (deg): 62.38 62.38 60.00
Last column: magnetic moment on the atom in μB.
Sites, in units of the cell vectors:
O (0.424, 0.644, 0.841)  0.09
O (0.209, 0.988, 0.262)  0.09
O (0.091, 0.424, 0.841)  0.09
O (0.541, 0.209, 0.262)  0.09
O (0.988, 0.541, 0.262)  0.09
O (0.644, 0.091, 0.841)  0.09
Hg (0.591, 0.591, 0.228)  0.01
Hg (0.042, 0.042, 0.875)  0.01
Ir (0.316, 0.316, 0.052)  0.95
Ac (0.816, 0.816, 0.552)  0.01


Entry 6:
Computed, not measured: a geometry-optimized AlPtRh2 structure at the PBE level of DFT.

Values from the calculation:
DFT formation energy: -121 meV per atom
SG: I-42d (122)
D(E_F): 9.133 states/eV per cell

a b c (Å): 3.729 3.729 9.480
angles (deg): 78.66 78.66 90.00
Sites, in units of the cell vectors:
Rh (0.123, 0.625, 0.250)
Rh (0.375, 0.373, 0.750)
Rh (0.875, 0.877, 0.750)
Rh (0.627, 0.125, 0.250)
Al (0.250, 0.750, 0.500)
Al (0.500, 0.500, 0.000)
Pt (0.000, 0.000, 0.000)
Pt (0.750, 0.250, 0.500)


Look up the D(E_F) of the third one. 6.187 states/eV per cell